(1)
Material: Ta2MnTe6
Method: DFT, GGA-PBE
State: optimized geometry

Calculated values
Raw formation energy = -0.61 eV/f.u.
Density of states at the Fermi level = 10.61 states/eV per cell
Total DFT energy (no corrections) = -104.68 eV/cell

Cell lengths 6.9301, 7.0570, 11.0933 Å; angles 90.00, 124.96, 90.00 degrees
Space group P2_1/c (No. 14)
Symmetry-distinct sites (fractional):
Ta  0.2143  0.1573  0.2438 x4
Mn  0.0000  0.0000  0.5000 x2
Te  0.0886  0.1568  0.9252 x4
Te  0.2706  0.6626  0.9272 x4
Te  0.4104  0.5027  0.2589 x4



(2)
Material: LuPuInOs
Method: DFT, GGA-PBE
State: optimized geometry

Calculated values
ΔH_f (0 K) = -70 meV per atom
Density of states at the Fermi level = 31.27 states/eV per cell
Total DFT energy (no corrections) = -132.40 eV/cell

Cell lengths 7.0615, 7.0615, 7.0615 Å; angles 90.00, 90.00, 90.00 degrees
Space group F-43m (No. 216)
Symmetry-distinct sites (fractional):
Lu  0.0000  0.0000  0.0000 x4
Pu  0.0000  0.0000  0.5000 x4
In  0.2500  0.2500  0.7500 x4
Os  0.2500  0.2500  0.2500 x4



(3)
Material: LiC5
Method: DFT, GGA-PBE
State: optimized geometry

Calculated values
ΔH_f (0 K) = 693 meV per atom
Density of states at the Fermi level = 2.26 states/eV per cell
Total DFT energy (no corrections) = -87.75 eV/cell

Cell lengths 2.4920, 2.5141, 13.8229 Å; angles 90.00, 90.00, 90.00 degrees
Space group Amm2 (No. 38)
Symmetry-distinct sites (fractional):
Li  0.0000  0.0000  0.0000 x2
C  0.0000  0.0000  0.3283 x2
C  0.0000  0.0000  0.7618 x2
C  0.5000  0.0000  0.1365 x2
C  0.5000  0.0000  0.3892 x2
C  0.5000  0.0000  0.6955 x2



(4)
Material: Ti2TlCr
Method: DFT, GGA-PBE
State: optimized geometry

Calculated values
ΔH_f (0 K) = 18 meV per atom
Density of states at the Fermi level = 4.09 states/eV per cell
Total DFT energy (no corrections) = -27.71 eV/cell

Cell lengths 3.1712, 3.1712, 6.7274 Å; angles 90.00, 90.00, 90.00 degrees
Space group P4/mmm (No. 123)
Symmetry-distinct sites (fractional):
Ti  0.0000  0.0000  0.2035 x2
Tl  0.5000  0.5000  0.5000 x1
Cr  0.5000  0.5000  0.0000 x1



(5)
Material: HPtOF2
Method: DFT, GGA-PBE
State: optimized geometry

Calculated values
Density of states at the Fermi level = 3.74 states/eV per cell
Total DFT energy (no corrections) = -18.04 eV/cell

Cell lengths 3.0574, 3.0574, 5.2085 Å; angles 90.00, 90.00, 90.00 degrees
Space group P4/mmm (No. 123)
Symmetry-distinct sites (fractional):
H  0.0000  0.0000  0.0000 x1
Pt  0.5000  0.5000  0.5000 x1
O  0.0000  0.0000  0.5000 x1
F  0.0000  0.5000  0.0000 x2



(6)
Material: K2TlCdOs
Method: DFT, GGA-PBE
State: optimized geometry

Calculated values
ΔH_f (0 K) = 860 meV per atom
Density of states at the Fermi level = 3.29 states/eV per cell
Total DFT energy (no corrections) = -12.41 eV/cell

Cell lengths 6.2572, 6.2572, 5.2666 Å; angles 90.00, 90.00, 90.00 degrees
Space group P4/mmm (No. 123)
Symmetry-distinct sites (fractional):
K  0.0000  0.5000  0.0000 x2
Tl  0.0000  0.0000  0.5000 x1
Cd  0.5000  0.5000  0.5000 x1
Os  0.0000  0.0000  0.0000 x1



(7)
Material: K2AcTa2O7
Method: DFT, GGA-PBE
State: optimized geometry

Calculated values
Raw formation energy = -33.14 eV/f.u.
Density of states at the Fermi level = 1.58 states/eV per cell
Total DFT energy (no corrections) = -195.71 eV/cell

Cell lengths 4.0634, 4.0634, 22.0447 Å; angles 90.00, 90.00, 90.00 degrees
Space group I4/mmm (No. 139)
Symmetry-distinct sites (fractional):
K  0.0000  0.0000  0.1928 x4
Ac  0.0000  0.0000  0.0000 x2
Ta  0.0000  0.0000  0.4024 x4
O  0.0000  0.0000  0.3178 x4
O  0.0000  0.0000  0.5000 x2
O  0.0000  0.5000  0.0845 x8



(8)
Material: SmPa5Se6
Method: DFT, GGA-PBE
State: optimized geometry

Calculated values
Raw formation energy = -15.52 eV/f.u.
Density of states at the Fermi level = 42.83 states/eV per cell
Total DFT energy (no corrections) = -177.25 eV/cell

Cell lengths 6.8874, 12.1351, 7.3024 Å; angles 90.00, 108.96, 90.00 degrees
Space group C2/m (No. 12)
Symmetry-distinct sites (fractional):
Sm  0.0000  0.0000  0.0000 x2
Pa  0.0000  0.1633  0.5000 x4
Pa  0.0000  0.3322  0.0000 x4
Pa  0.0000  0.5000  0.5000 x2
Se  0.2458  0.5000  0.2471 x4
Se  0.2479  0.3324  0.7487 x8